! ZrTiAs | the Alexandria database | PBE-GGA | optimized geometry; values from VASP
&SYSTEM
  ibrav = 0, nat = 6, ntyp = 3
/
ATOMIC_SPECIES
Zr 91.22 Zr.upf
Ti 47.87 Ti.upf
As 74.92 As.upf
CELL_PARAMETERS angstrom
4.914 -1.735 0.000
4.914 1.735 0.000
-0.852 0.000 6.572
ATOMIC_POSITIONS crystal
Zr 0.000 0.000 0.000
Zr 0.737 0.737 0.290
Ti 0.071 0.071 0.564
Ti 0.349 0.349 0.665
As 0.454 0.454 0.307
As 0.702 0.702 0.860
! calculated total energy = -7.738 eV/atom
! formation energy = -707 meV/atom

! PrNd3Ge4 | the Alexandria database | PBE-GGA | optimized geometry; values from VASP
&SYSTEM
  ibrav = 0, nat = 8, ntyp = 3
/
ATOMIC_SPECIES
Pr 140.91 Pr.upf
Nd 144.24 Nd.upf
Ge 72.64 Ge.upf
CELL_PARAMETERS angstrom
-2.062 3.298 8.215
2.062 -3.298 8.215
2.062 3.298 -8.215
ATOMIC_POSITIONS crystal
Pr 0.000 0.000 0.000
Nd 0.196 0.696 0.500
Nd 0.500 0.500 0.000
Nd 0.804 0.304 0.500
Ge 0.180 0.868 0.311
Ge 0.443 0.132 0.311
Ge 0.557 0.868 0.689
Ge 0.820 0.132 0.689
! calculated total energy = -5.340 eV/atom
! formation energy = -646 meV/atom

! Ta2TcBr | the Alexandria database | PBE-GGA | optimized geometry; values from VASP
&SYSTEM
  ibrav = 0, nat = 4, ntyp = 3
/
ATOMIC_SPECIES
Ta 180.95 Ta.upf
Tc 98.00 Tc.upf
Br 79.90 Br.upf
CELL_PARAMETERS angstrom
-1.564 2.278 4.867
1.564 -2.278 4.867
1.564 2.278 -4.867
ATOMIC_POSITIONS crystal
Ta 0.000 0.000 0.000
Ta 0.730 0.230 0.500
Tc 0.235 0.735 0.500
Br 0.461 0.461 0.000
! calculated total energy = -8.448 eV/atom
! energy above the lowest structure with this stoichiometry = 9.811 kcal/mol of atoms
! E_form (uncorrected) = 0.489 eV per atom

! Li2CrTc | the Alexandria database | PBE-GGA | optimized geometry; values from VASP
&SYSTEM
  ibrav = 0, nat = 4, ntyp = 3
/
ATOMIC_SPECIES
Li 6.94 Li.upf
Cr 52.00 Cr.upf
Tc 98.00 Tc.upf
CELL_PARAMETERS angstrom
3.332 0.000 0.000
0.000 3.332 0.000
0.000 0.000 4.875
ATOMIC_POSITIONS crystal
Li 0.000 0.000 0.245
Li 0.000 0.000 0.755
Cr 0.500 0.500 0.500
Tc 0.500 0.500 0.000
! calculated total energy = -5.295 eV/atom
! formation energy = 659 meV/atom
! energy above the lowest structure with this stoichiometry = 9.697 kcal/mol of atoms

! SmZnRh3 | the Alexandria database | PBE-GGA | optimized geometry; values from VASP
&SYSTEM
  ibrav = 0, nat = 10, ntyp = 3
/
ATOMIC_SPECIES
Sm 150.36 Sm.upf
Zn 65.41 Zn.upf
Rh 102.91 Rh.upf
CELL_PARAMETERS angstrom
-2.700 3.717 4.426
2.700 -3.717 4.426
2.700 3.717 -4.426
ATOMIC_POSITIONS crystal
Sm 0.256 0.006 0.250
Sm 0.744 0.994 0.750
Zn 0.000 0.500 0.500
Zn 0.500 0.500 0.000
Rh 0.053 0.303 0.750
Rh 0.307 0.000 0.807
Rh 0.307 0.500 0.307
Rh 0.693 0.000 0.193
Rh 0.693 0.500 0.693
Rh 0.947 0.697 0.250
! calculated total energy = -6.026 eV/atom
! formation energy = -416 meV/atom

! BeV2GaBr | the Alexandria database | PBE-GGA | optimized geometry; values from VASP
&SYSTEM
  ibrav = 0, nat = 5, ntyp = 4
/
ATOMIC_SPECIES
Be 9.01 Be.upf
V 50.94 V.upf
Ga 69.72 Ga.upf
Br 79.90 Br.upf
CELL_PARAMETERS angstrom
4.417 0.000 0.000
0.000 4.417 0.000
0.000 0.000 4.414
ATOMIC_POSITIONS crystal
Be 0.000 0.000 0.000
V 0.000 0.500 0.000
V 0.500 0.000 0.000
Ga 0.500 0.500 0.500
Br 0.000 0.000 0.500
! calculated total energy = -4.268 eV/atom
! E_form (uncorrected) = 1.065 eV per atom

! TiAg3F8 | the Alexandria database | PBE-GGA | optimized geometry; values from VASP
&SYSTEM
  ibrav = 0, nat = 12, ntyp = 3
/
ATOMIC_SPECIES
Ti 47.87 Ti.upf
Ag 107.87 Ag.upf
F 19.00 F.upf
CELL_PARAMETERS angstrom
2.782 -5.635 0.000
2.782 5.635 0.000
0.000 0.000 6.945
ATOMIC_POSITIONS crystal
Ti 0.000 0.000 0.000
Ag 0.000 0.000 0.500
Ag 0.000 0.500 0.258
Ag 0.500 0.000 0.742
F 0.173 0.827 0.000
F 0.194 0.806 0.500
F 0.217 0.251 0.193
F 0.251 0.217 0.807
F 0.749 0.783 0.807
F 0.783 0.749 0.193
F 0.806 0.194 0.500
F 0.827 0.173 0.000
! calculated total energy = -4.645 eV/atom
! E_form (uncorrected) = -2.027 eV per atom

! BaHgMo2 | the Alexandria database | PBE-GGA | optimized geometry; values from VASP
&SYSTEM
  ibrav = 0, nat = 4, ntyp = 3
/
ATOMIC_SPECIES
Ba 137.33 Ba.upf
Hg 200.59 Hg.upf
Mo 95.94 Mo.upf
CELL_PARAMETERS angstrom
5.284 -1.703 0.000
5.284 1.703 0.000
-1.295 0.000 5.963
ATOMIC_POSITIONS crystal
Ba 0.000 0.000 0.000
Hg 0.500 0.500 0.500
Mo 0.226 0.226 0.622
Mo 0.774 0.774 0.378
! calculated total energy = -5.284 eV/atom
! formation energy = 688 meV/atom

! Th2BeGa3 | the Alexandria database | PBE-GGA | optimized geometry; values from VASP
&SYSTEM
  ibrav = 0, nat = 12, ntyp = 3
/
ATOMIC_SPECIES
Th 232.04 Th.upf
Be 9.01 Be.upf
Ga 69.72 Ga.upf
CELL_PARAMETERS angstrom
0.000 4.261 7.217
4.169 0.000 7.217
4.169 4.261 0.000
ATOMIC_POSITIONS crystal
Th 0.246 0.754 0.246
Th 0.250 0.250 0.250
Th 0.750 0.750 0.750
Th 0.754 0.246 0.754
Be 0.333 0.333 0.667
Be 0.667 0.667 0.333
Ga 0.174 0.174 0.826
Ga 0.176 0.651 0.824
Ga 0.349 0.824 0.651
Ga 0.651 0.176 0.349
Ga 0.824 0.349 0.176
Ga 0.826 0.826 0.174
! calculated total energy = -5.142 eV/atom
! formation energy = -535 meV/atom

! NdHoIrBr | the Alexandria database | PBE-GGA | optimized geometry; values from VASP
&SYSTEM
  ibrav = 0, nat = 4, ntyp = 4
/
ATOMIC_SPECIES
Nd 144.24 Nd.upf
Ho 164.93 Ho.upf
Ir 192.22 Ir.upf
Br 79.90 Br.upf
CELL_PARAMETERS angstrom
2.047 1.182 7.757
-2.047 1.182 7.757
0.000 -2.364 7.757
ATOMIC_POSITIONS crystal
Nd 0.000 0.000 0.000
Ho 0.794 0.794 0.794
Ir 0.400 0.400 0.400
Br 0.227 0.227 0.227
! calculated total energy = -6.050 eV/atom
! E_form (uncorrected) = -1.080 eV per atom

! CuTc2Os | the Alexandria database | PBE-GGA | optimized geometry; values from VASP
&SYSTEM
  ibrav = 0, nat = 4, ntyp = 3
/
ATOMIC_SPECIES
Cu 63.55 Cu.upf
Tc 98.00 Tc.upf
Os 190.23 Os.upf
CELL_PARAMETERS angstrom
-1.902 1.902 3.865
1.902 -1.902 3.865
1.902 1.902 -3.865
ATOMIC_POSITIONS crystal
Cu 0.000 0.000 0.000
Tc 0.500 0.500 0.000
Tc 0.750 0.250 0.500
Os 0.250 0.750 0.500
! calculated total energy = -8.759 eV/atom
! formation energy = 256 meV/atom
! energy above the lowest structure with this stoichiometry = 2.278 kcal/mol of atoms

! Cu2AgPd4 | the Alexandria database | PBE-GGA | optimized geometry; values from VASP
&SYSTEM
  ibrav = 0, nat = 7, ntyp = 3
/
ATOMIC_SPECIES
Cu 63.55 Cu.upf
Ag 107.87 Ag.upf
Pd 106.42 Pd.upf
CELL_PARAMETERS angstrom
1.391 0.803 15.577
-1.391 0.803 15.577
0.000 -1.607 15.577
ATOMIC_POSITIONS crystal
Cu 0.097 0.097 0.097
Cu 0.903 0.903 0.903
Ag 0.000 0.000 0.000
Pd 0.192 0.192 0.192
Pd 0.385 0.385 0.385
Pd 0.615 0.615 0.615
Pd 0.808 0.808 0.808
! calculated total energy = -4.586 eV/atom
! formation energy = -41 meV/atom
! energy above the lowest structure with this stoichiometry = 0.000 kcal/mol of atoms